No. 1
The following is a DFT calculation (PBE-GGA) of crystalline NaCu4SeS2 at its relaxed geometry.

```
data_NaCu4SeS2
_chemical_formula_sum 'Na1 Cu4 Se1 S2'
_cell_length_a 3.835
_cell_length_b 3.835
_cell_length_c 9.416
_cell_angle_alpha 90.00
_cell_angle_beta 90.00
_cell_angle_gamma 90.00
_symmetry_space_group_name_H-M 'P 4/m m m'
_symmetry_Int_Tables_number 123
_symmetry_space_group_name_Hall '-P 4 2'
loop_
_atom_site_label
_atom_site_fract_x
_atom_site_fract_y
_atom_site_fract_z
Na1 0.000 0.000 0.000
Cu1 0.000 0.500 0.316
Se1 0.000 0.000 0.500
S1 0.500 0.500 0.181
```

Summary:
Its raw formation energy is -346 meV/atom. For the total magnetic moment, the calculation gives 0.000 μB per atom.

=====

No. 2
The following is a DFT calculation (PBE-GGA) of crystalline Na3SrTl6 at its relaxed geometry.

```
data_Na3SrTl6
_chemical_formula_sum 'Na9 Sr3 Tl18'
_cell_length_a 13.7507
_cell_length_b 13.7507
_cell_length_c 6.2272
_cell_angle_alpha 90.00
_cell_angle_beta 90.00
_cell_angle_gamma 120.00
_symmetry_space_group_name_H-M 'R 3 m'
_symmetry_Int_Tables_number 160
_symmetry_space_group_name_Hall 'R 3 -2"'
loop_
_atom_site_label
_atom_site_fract_x
_atom_site_fract_y
_atom_site_fract_z
Na1 0.0049 0.5024 0.0000
Sr1 0.0000 0.0000 0.3946
Tl1 0.0821 0.1642 0.8450
Tl2 0.2082 0.4164 0.8337
```

Summary:
As for the formation energy: -6.3 kJ/mol of atoms. The excess energy over the best structure of this formula in the dataset comes out at 28 meV per atom. For the total magnetic moment, the calculation gives 0.000 μB per atom.

=====

No. 3
The following is a DFT calculation (PBE-GGA) of crystalline Ca8Sb5H at its relaxed geometry.

```
data_Ca8Sb5H
_chemical_formula_sum 'Ca16 Sb10 H2'
_cell_length_a 9.347
_cell_length_b 9.347
_cell_length_c 9.598
_cell_angle_alpha 90.00
_cell_angle_beta 90.00
_cell_angle_gamma 90.00
_symmetry_space_group_name_H-M 'I -4'
_symmetry_Int_Tables_number 82
loop_
_symmetry_equiv_pos_as_xyz
'x,y,z'
'y,-x,-z'
'-x,-y,z'
'-y,x,-z'
'x+1/2,y+1/2,z+1/2'
'y+1/2,-x+1/2,-z+1/2'
'-x+1/2,-y+1/2,z+1/2'
'-y+1/2,x+1/2,-z+1/2'
loop_
_atom_site_label
_atom_site_fract_x
_atom_site_fract_y
_atom_site_fract_z
Ca1 0.065 0.184 0.207
Ca2 0.080 0.317 0.573
Sb1 0.000 0.000 0.500
Sb2 0.130 0.250 0.887
H1 0.000 0.500 0.250
```

Summary:
For the total energy, the calculation gives -3.767 eV/atom. For the total magnetic moment, the calculation gives 0.000 μB per atom.

=====

No. 4
The following is a DFT calculation (PBE-GGA) of crystalline Ba3Ni at its relaxed geometry.

```
data_Ba3Ni
_chemical_formula_sum 'Ba12 Ni4'
_cell_length_a 9.5901
_cell_length_b 9.5901
_cell_length_c 9.0118
_cell_angle_alpha 90.00
_cell_angle_beta 90.00
_cell_angle_gamma 120.00
_symmetry_space_group_name_H-M 'P 63/m m c'
_symmetry_Int_Tables_number 194
_symmetry_space_group_name_Hall '-P 6c 2c'
loop_
_atom_site_label
_atom_site_fract_x
_atom_site_fract_y
_atom_site_fract_z
Ba1 0.0000 0.5000 0.0000
Ba2 0.1278 0.2555 0.2500
Ni1 0.0000 0.0000 0.0000
Ni2 0.3333 0.6667 0.7500
```

Summary:
As for the formation energy: 36.3 kJ/mol of atoms. For the total magnetic moment, the calculation gives 0.000 μB per atom.

=====

No. 5
The following is a DFT calculation (PBE-GGA) of crystalline CePmDy4S8 at its relaxed geometry.

```
data_CePmDy4S8
_chemical_formula_sum 'Ce3 Pm3 Dy12 S24'
_cell_length_a 8.1197
_cell_length_b 8.1197
_cell_length_c 20.0783
_cell_angle_alpha 90.00
_cell_angle_beta 90.00
_cell_angle_gamma 120.00
_symmetry_space_group_name_H-M 'R 3 m'
_symmetry_Int_Tables_number 160
_symmetry_space_group_name_Hall 'R 3 -2"'
loop_
_atom_site_label
_atom_site_fract_x
_atom_site_fract_y
_atom_site_fract_z
Ce1 0.0000 0.0000 0.0000
Pm1 0.0000 0.0000 0.6258
Dy1 0.0000 0.0000 0.2518
Dy2 0.0002 0.5001 0.1262
S1 0.0000 0.0000 0.3839
S2 0.0000 0.0000 0.8638
S3 0.0260 0.5130 0.3824
S4 0.1735 0.3471 0.2045
```

Summary:
Its raw formation energy is -1913 meV/atom. For the total magnetic moment, the calculation gives 0.119 μB per atom.

=====

No. 6
The following is a DFT calculation (PBE-GGA) of crystalline CoMoS2Cl at its relaxed geometry.

```
data_CoMoS2Cl
_chemical_formula_sum 'Co1 Mo1 S2 Cl1'
_cell_length_a 4.478
_cell_length_b 4.478
_cell_length_c 4.430
_cell_angle_alpha 90.00
_cell_angle_beta 90.00
_cell_angle_gamma 90.00
_symmetry_space_group_name_H-M 'P 4/m m m'
_symmetry_Int_Tables_number 123
_symmetry_space_group_name_Hall '-P 4 2'
loop_
_atom_site_label
_atom_site_fract_x
_atom_site_fract_y
_atom_site_fract_z
Co1 0.000 0.000 0.000
Mo1 0.500 0.500 0.500
S1 0.000 0.500 0.000
Cl1 0.000 0.000 0.500
```

Summary:
Its raw formation energy is 574 meV/atom. The excess energy over the best structure of this formula in the dataset comes out at 67 meV per atom. For the total magnetic moment, the calculation gives 0.497 μB per atom.

=====

No. 7
The following is a DFT calculation (PBE-GGA) of crystalline Rb3NaSi at its relaxed geometry.

```
data_Rb3NaSi
_chemical_formula_sum 'Rb3 Na1 Si1'
_cell_length_a 6.927
_cell_length_b 6.927
_cell_length_c 6.927
_cell_angle_alpha 90.00
_cell_angle_beta 90.00
_cell_angle_gamma 90.00
_symmetry_space_group_name_H-M 'P m -3 m'
_symmetry_Int_Tables_number 221
_symmetry_space_group_name_Hall '-P 4 2 3'
loop_
_atom_site_label
_atom_site_fract_x
_atom_site_fract_y
_atom_site_fract_z
Rb1 0.000 0.000 0.500
Na1 0.500 0.500 0.500
Si1 0.000 0.000 0.000
```

Summary:
Its raw formation energy is 337 meV/atom. The excess energy over the best structure of this formula in the dataset comes out at 0 meV per atom. For the total magnetic moment, the calculation gives 0.400 μB per atom.

=====

No. 8
The following is a DFT calculation (PBE-GGA) of crystalline PrSm6Ho8 at its relaxed geometry.

```
data_PrSm6Ho8
_chemical_formula_sum 'Pr3 Sm18 Ho24'
_cell_length_a 9.0832
_cell_length_b 9.0832
_cell_length_c 20.7553
_cell_angle_alpha 90.00
_cell_angle_beta 90.00
_cell_angle_gamma 120.00
_symmetry_space_group_name_H-M 'R -3'
_symmetry_Int_Tables_number 148
_symmetry_space_group_name_Hall '-R 3'
loop_
_atom_site_label
_atom_site_fract_x
_atom_site_fract_y
_atom_site_fract_z
Pr1 0.0000 0.0000 0.0000
Sm1 0.0619 0.2465 0.7093
Ho1 0.0000 0.0000 0.4235
Ho2 0.0802 0.5535 0.8082
```

Summary:
As for the formation energy: 12.5 kJ/mol of atoms. For the total magnetic moment, the calculation gives 0.000 μB per atom.

=====

No. 9
The following is a DFT calculation (PBE-GGA) of crystalline Ti2NiPb at its relaxed geometry.

```
data_Ti2NiPb
_chemical_formula_sum 'Ti2 Ni1 Pb1'
_cell_length_a 3.046
_cell_length_b 3.046
_cell_length_c 7.614
_cell_angle_alpha 90.00
_cell_angle_beta 90.00
_cell_angle_gamma 90.00
_symmetry_space_group_name_H-M 'P 4/m m m'
_symmetry_Int_Tables_number 123
_symmetry_space_group_name_Hall '-P 4 2'
loop_
_atom_site_label
_atom_site_fract_x
_atom_site_fract_y
_atom_site_fract_z
Ti1 0.000 0.000 0.198
Ni1 0.500 0.500 0.000
Pb1 0.500 0.500 0.500
```

Summary:
As for the formation energy: -3.8 kJ/mol of atoms. For the total magnetic moment, the calculation gives 0.379 μB per atom.

=====

No. 10
The following is a DFT calculation (PBE-GGA) of crystalline Pr2Th3Si4 at its relaxed geometry.

```
data_Pr2Th3Si4
_chemical_formula_sum 'Pr4 Th6 Si8'
_cell_length_a 7.855
_cell_length_b 7.914
_cell_length_c 7.862
_cell_angle_alpha 90.00
_cell_angle_beta 105.31
_cell_angle_gamma 90.00
_symmetry_space_group_name_H-M 'P 1 21/c 1'
_symmetry_Int_Tables_number 14
loop_
_symmetry_equiv_pos_as_xyz
'x,y,z'
'-x,-y,-z'
'-x,y+1/2,-z+1/2'
'x,-y+1/2,z+1/2'
loop_
_atom_site_label
_atom_site_fract_x
_atom_site_fract_y
_atom_site_fract_z
Pr1 0.207 0.184 0.098
Th1 0.240 0.681 0.254
Th2 0.500 0.000 0.500
Si1 0.089 0.521 0.893
Si2 0.495 0.117 0.881
```

Summary:
Its raw formation energy is -653 meV/atom. For the total magnetic moment, the calculation gives 0.000 μB per atom.

=====

No. 11
The following is a DFT calculation (PBE-GGA) of crystalline Tm5BiPt2 at its relaxed geometry.

```
data_Tm5BiPt2
_chemical_formula_sum 'Tm20 Bi4 Pt8'
_cell_length_a 7.707
_cell_length_b 7.707
_cell_length_c 13.668
_cell_angle_alpha 90.00
_cell_angle_beta 90.00
_cell_angle_gamma 90.00
_symmetry_space_group_name_H-M 'I 4/m c m'
_symmetry_Int_Tables_number 140
_symmetry_space_group_name_Hall '-I 4 2c'
loop_
_atom_site_label
_atom_site_fract_x
_atom_site_fract_y
_atom_site_fract_z
Tm1 0.000 0.000 0.000
Tm2 0.156 0.344 0.136
Bi1 0.000 0.000 0.250
Pt1 0.140 0.360 0.500
```

Summary:
As for the formation energy: -91.4 kJ/mol of atoms. For the total magnetic moment, the calculation gives 0.000 μB per atom.

=====

No. 12
The following is a DFT calculation (PBE-GGA) of crystalline CoPOs2 at its relaxed geometry.

```
data_CoPOs2
_chemical_formula_sum 'Co1 P1 Os2'
_cell_length_a 2.869
_cell_length_b 2.869
_cell_length_c 6.209
_cell_angle_alpha 90.00
_cell_angle_beta 90.00
_cell_angle_gamma 90.00
_symmetry_space_group_name_H-M 'P 4/m m m'
_symmetry_Int_Tables_number 123
_symmetry_space_group_name_Hall '-P 4 2'
loop_
_atom_site_label
_atom_site_fract_x
_atom_site_fract_y
_atom_site_fract_z
Co1 0.000 0.000 0.000
P1 0.000 0.000 0.500
Os1 0.500 0.500 0.273
```

Summary:
As for the formation energy: 14.7 kJ/mol of atoms. For the total magnetic moment, the calculation gives 0.423 μB per atom.